# 1
A PBEsol-optimized structure of TlIn2Ni, computed with meta-GGA SCAN. Values from VASP.

Properties
Offset from the most stable computed form ... 1.28 eV/f.u.
Formation energy ... 0.385 eV/atom
Magnetization ... 0.000 μB/f.u.
Electronic total energy ... -38.44 eV/atom

Geometry as Quantum ESPRESSO input:
```
&SYSTEM
  ibrav = 0, nat = 8, ntyp = 3
/
ATOMIC_SPECIES
Tl 204.38 Tl.upf
In 114.82 In.upf
Ni 58.69 Ni.upf
ATOMIC_POSITIONS crystal
Tl 0.000 0.000 0.000
Tl 0.500 0.500 0.500
In 0.000 0.000 0.500
In 0.000 0.500 0.250
In 0.500 0.000 0.750
In 0.500 0.500 0.000
Ni 0.000 0.500 0.750
Ni 0.500 0.000 0.250
CELL_PARAMETERS angstrom
4.343 0.000 0.000
0.000 4.343 0.000
0.000 0.000 8.676
```

---

# 2
A PBEsol-optimized structure of TlIn2Ni, computed with meta-GGA SCAN. Values from VASP.

Properties
Offset from the most stable computed form ... 0.21 eV/f.u.
Formation energy ... 0.116 eV/atom
Magnetization ... 0.000 μB/f.u.
Electronic total energy ... -38.71 eV/atom

Geometry as Quantum ESPRESSO input:
```
&SYSTEM
  ibrav = 0, nat = 8, ntyp = 3
/
ATOMIC_SPECIES
Tl 204.38 Tl.upf
In 114.82 In.upf
Ni 58.69 Ni.upf
ATOMIC_POSITIONS crystal
Tl 0.000 0.000 0.000
Tl 0.500 0.500 0.500
In 0.000 0.500 0.182
In 0.000 0.500 0.818
In 0.500 0.000 0.318
In 0.500 0.000 0.682
Ni 0.000 0.000 0.500
Ni 0.500 0.500 0.000
CELL_PARAMETERS angstrom
3.009 0.000 0.000
0.000 4.432 0.000
0.000 0.000 12.739
```

---

# 3
A PBEsol-optimized structure of TlIn2Ni, computed with meta-GGA SCAN. Values from VASP.

Properties
Offset from the most stable computed form ... 0.00 eV/f.u.
Formation energy ... 0.064 eV/atom
Magnetization ... 0.000 μB/f.u.
Electronic total energy ... -38.76 eV/atom

Geometry as Quantum ESPRESSO input:
```
&SYSTEM
  ibrav = 0, nat = 8, ntyp = 3
/
ATOMIC_SPECIES
Tl 204.38 Tl.upf
In 114.82 In.upf
Ni 58.69 Ni.upf
ATOMIC_POSITIONS crystal
Tl 0.000 0.000 0.000
Tl 0.500 0.500 0.000
In 0.179 0.000 0.701
In 0.355 0.000 0.359
In 0.679 0.500 0.701
In 0.855 0.500 0.359
Ni 0.132 0.500 0.365
Ni 0.632 0.000 0.365
CELL_PARAMETERS angstrom
9.227 0.000 0.000
0.000 3.130 0.000
-2.495 0.000 6.106
```

---

# 4
A PBEsol-optimized structure of TlIn2Ni, computed with meta-GGA SCAN. Values from VASP.

Properties
Offset from the most stable computed form ... 0.49 eV/f.u.
Formation energy ... 0.187 eV/atom
Magnetization ... 0.000 μB/f.u.
Electronic total energy ... -38.64 eV/atom

Geometry as Quantum ESPRESSO input:
```
&SYSTEM
  ibrav = 0, nat = 12, ntyp = 3
/
ATOMIC_SPECIES
Tl 204.38 Tl.upf
In 114.82 In.upf
Ni 58.69 Ni.upf
ATOMIC_POSITIONS crystal
Tl 0.000 0.000 0.000
Tl 0.333 0.667 0.667
Tl 0.667 0.333 0.333
In 0.000 0.000 0.532
In 0.000 0.000 0.767
In 0.333 0.667 0.198
In 0.333 0.667 0.434
In 0.667 0.333 0.100
In 0.667 0.333 0.865
Ni 0.000 0.000 0.264
Ni 0.333 0.667 0.930
Ni 0.667 0.333 0.597
CELL_PARAMETERS angstrom
3.360 0.000 0.000
-1.680 2.910 0.000
0.000 0.000 26.061
```

---

# 5
A PBEsol-optimized structure of TlIn2Ni, computed with meta-GGA SCAN. Values from VASP.

Properties
Offset from the most stable computed form ... 1.24 eV/f.u.
Formation energy ... 0.374 eV/atom
Magnetization ... 0.000 μB/f.u.
Electronic total energy ... -38.45 eV/atom

Geometry as Quantum ESPRESSO input:
```
&SYSTEM
  ibrav = 0, nat = 8, ntyp = 3
/
ATOMIC_SPECIES
Tl 204.38 Tl.upf
In 114.82 In.upf
Ni 58.69 Ni.upf
ATOMIC_POSITIONS crystal
Tl 0.000 0.000 0.000
Tl 0.500 0.500 0.500
In 0.000 0.500 0.250
In 0.000 0.500 0.750
In 0.500 0.000 0.250
In 0.500 0.000 0.750
Ni 0.000 0.000 0.500
Ni 0.500 0.500 0.000
CELL_PARAMETERS angstrom
4.310 0.000 0.000
0.000 4.310 0.000
0.000 0.000 8.769
```

---

# 6
A PBEsol-optimized structure of TlIn2Ni, computed with meta-GGA SCAN. Values from VASP.

Properties
Offset from the most stable computed form ... 1.48 eV/f.u.
Formation energy ... 0.434 eV/atom
Magnetization ... 0.000 μB/f.u.
Electronic total energy ... -38.39 eV/atom

Geometry as Quantum ESPRESSO input:
```
&SYSTEM
  ibrav = 0, nat = 16, ntyp = 3
/
ATOMIC_SPECIES
Tl 204.38 Tl.upf
In 114.82 In.upf
Ni 58.69 Ni.upf
ATOMIC_POSITIONS crystal
Tl 0.000 0.000 0.000
Tl 0.000 0.500 0.500
Tl 0.500 0.000 0.500
Tl 0.500 0.500 0.000
In 0.250 0.250 0.250
In 0.250 0.250 0.750
In 0.250 0.750 0.250
In 0.250 0.750 0.750
In 0.750 0.250 0.250
In 0.750 0.250 0.750
In 0.750 0.750 0.250
In 0.750 0.750 0.750
Ni 0.000 0.000 0.500
Ni 0.000 0.500 0.000
Ni 0.500 0.000 0.000
Ni 0.500 0.500 0.500
CELL_PARAMETERS angstrom
6.954 0.000 0.000
0.000 6.954 0.000
0.000 0.000 6.954
```

---

# 7
A PBEsol-optimized structure of TmInNi4, computed with meta-GGA SCAN. Values from VASP.

Properties
Formation energy ... -0.405 eV/atom
Magnetization ... 0.000 μB/f.u.
Electronic total energy ... -25.39 eV/atom

Geometry as Quantum ESPRESSO input:
```
&SYSTEM
  ibrav = 0, nat = 6, ntyp = 3
/
ATOMIC_SPECIES
Tm 168.93 Tm.upf
In 114.82 In.upf
Ni 58.69 Ni.upf
ATOMIC_POSITIONS crystal
Tm 0.000 0.000 0.000
In 0.750 0.750 0.750
Ni 0.376 0.376 0.376
Ni 0.376 0.376 0.873
Ni 0.376 0.873 0.376
Ni 0.873 0.376 0.376
CELL_PARAMETERS angstrom
0.000 3.449 3.449
3.449 0.000 3.449
3.449 3.449 0.000
```

---

# 8
A PBEsol-optimized structure of InNiW2, computed with meta-GGA SCAN. Values from VASP.

Properties
Formation energy ... 0.352 eV/atom
Magnetization ... 0.000 μB/f.u.
Electronic total energy ... -46.88 eV/atom

Geometry as Quantum ESPRESSO input:
```
&SYSTEM
  ibrav = 0, nat = 4, ntyp = 3
/
ATOMIC_SPECIES
In 114.82 In.upf
Ni 58.69 Ni.upf
W 183.84 W.upf
ATOMIC_POSITIONS crystal
In 0.000 0.000 0.000
Ni 0.500 0.500 0.000
W 0.000 0.500 0.500
W 0.500 0.000 0.500
CELL_PARAMETERS angstrom
3.476 0.000 0.000
0.000 4.003 0.000
0.000 0.000 4.401
```

---

# 9
A PBEsol-optimized structure of In2NiW2, computed with meta-GGA SCAN. Values from VASP.

Properties
Formation energy ... 0.834 eV/atom
Magnetization ... 0.000 μB/f.u.
Electronic total energy ... -43.63 eV/atom

Geometry as Quantum ESPRESSO input:
```
&SYSTEM
  ibrav = 0, nat = 10, ntyp = 3
/
ATOMIC_SPECIES
In 114.82 In.upf
Ni 58.69 Ni.upf
W 183.84 W.upf
ATOMIC_POSITIONS crystal
In 0.000 0.000 0.094
In 0.000 0.000 0.906
In 0.500 0.500 0.406
In 0.500 0.500 0.594
Ni 0.000 0.000 0.500
Ni 0.500 0.500 0.000
W 0.000 0.500 0.250
W 0.000 0.500 0.750
W 0.500 0.000 0.250
W 0.500 0.000 0.750
CELL_PARAMETERS angstrom
3.576 0.000 0.000
0.000 3.576 0.000
0.000 0.000 14.716
```

---

# 10
A PBEsol-optimized structure of InNi6W, computed with meta-GGA SCAN. Values from VASP.

Properties
Formation energy ... -0.020 eV/atom
Magnetization ... 0.001 μB/f.u.
Electronic total energy ... -25.03 eV/atom

Geometry as Quantum ESPRESSO input:
```
&SYSTEM
  ibrav = 0, nat = 32, ntyp = 3
/
ATOMIC_SPECIES
In 114.82 In.upf
Ni 58.69 Ni.upf
W 183.84 W.upf
ATOMIC_POSITIONS crystal
In 0.000 0.000 0.249
In 0.000 0.000 0.751
In 0.247 0.753 0.500
In 0.753 0.247 0.500
Ni 0.000 0.000 0.000
Ni 0.000 0.000 0.500
Ni 0.129 0.384 0.120
Ni 0.129 0.384 0.880
Ni 0.136 0.381 0.369
Ni 0.136 0.381 0.631
Ni 0.255 0.745 0.241
Ni 0.255 0.745 0.759
Ni 0.381 0.136 0.369
Ni 0.381 0.136 0.631
Ni 0.384 0.129 0.120
Ni 0.384 0.129 0.880
Ni 0.500 0.500 0.000
Ni 0.500 0.500 0.500
Ni 0.616 0.871 0.120
Ni 0.616 0.871 0.880
Ni 0.619 0.864 0.369
Ni 0.619 0.864 0.631
Ni 0.745 0.255 0.241
Ni 0.745 0.255 0.759
Ni 0.864 0.619 0.369
Ni 0.864 0.619 0.631
Ni 0.871 0.616 0.120
Ni 0.871 0.616 0.880
W 0.251 0.749 0.000
W 0.500 0.500 0.254
W 0.500 0.500 0.746
W 0.749 0.251 0.000
CELL_PARAMETERS angstrom
3.629 -5.127 0.000
3.629 5.127 0.000
0.000 0.000 10.288
```

---

# 11
A PBEsol-optimized structure of InNiW2, computed with meta-GGA SCAN. Values from VASP.

Properties
Formation energy ... 0.516 eV/atom
Magnetization ... 0.398 μB/f.u.
Electronic total energy ... -46.72 eV/atom

Geometry as Quantum ESPRESSO input:
```
&SYSTEM
  ibrav = 0, nat = 8, ntyp = 3
/
ATOMIC_SPECIES
In 114.82 In.upf
Ni 58.69 Ni.upf
W 183.84 W.upf
ATOMIC_POSITIONS crystal
In 0.000 0.000 0.000
In 0.500 0.500 0.000
Ni 0.000 0.500 0.000
Ni 0.500 0.000 0.000
W 0.250 0.250 0.500
W 0.250 0.750 0.500
W 0.750 0.250 0.500
W 0.750 0.750 0.500
CELL_PARAMETERS angstrom
5.237 0.000 0.000
0.000 8.624 0.000
0.000 0.000 2.733
```

---

# 12
A PBEsol-optimized structure of InNiW2, computed with meta-GGA SCAN. Values from VASP.

Properties
Formation energy ... 0.310 eV/atom
Magnetization ... 0.000 μB/f.u.
Electronic total energy ... -46.92 eV/atom

Geometry as Quantum ESPRESSO input:
```
&SYSTEM
  ibrav = 0, nat = 8, ntyp = 3
/
ATOMIC_SPECIES
In 114.82 In.upf
Ni 58.69 Ni.upf
W 183.84 W.upf
ATOMIC_POSITIONS crystal
In 0.000 0.000 0.000
In 0.500 0.500 0.500
Ni 0.000 0.000 0.500
Ni 0.500 0.500 0.000
W 0.000 0.500 0.244
W 0.000 0.500 0.756
W 0.500 0.000 0.256
W 0.500 0.000 0.744
CELL_PARAMETERS angstrom
3.420 0.000 0.000
0.000 4.069 0.000
0.000 0.000 8.763
```

---

# 13
A PBEsol-optimized structure of InNiW3, computed with meta-GGA SCAN. Values from VASP.

Properties
Formation energy ... 3.503 eV/atom
Magnetization ... 0.002 μB/f.u.
Electronic total energy ... -48.22 eV/atom

Geometry as Quantum ESPRESSO input:
```
&SYSTEM
  ibrav = 0, nat = 5, ntyp = 3
/
ATOMIC_SPECIES
In 114.82 In.upf
Ni 58.69 Ni.upf
W 183.84 W.upf
ATOMIC_POSITIONS crystal
In 0.000 0.000 0.000
Ni 0.500 0.500 0.500
W 0.000 0.000 0.500
W 0.000 0.500 0.000
W 0.500 0.000 0.000
CELL_PARAMETERS angstrom
4.767 0.000 0.000
0.000 4.767 0.000
0.000 0.000 4.767
```

---

# 14
A PBEsol-optimized structure of Y2InNi, computed with meta-GGA SCAN. Values from VASP.

Properties
Formation energy ... -0.414 eV/atom
Magnetization ... 0.000 μB/f.u.
Electronic total energy ... -26.72 eV/atom

Geometry as Quantum ESPRESSO input:
```
&SYSTEM
  ibrav = 0, nat = 4, ntyp = 3
/
ATOMIC_SPECIES
Y 88.91 Y.upf
In 114.82 In.upf
Ni 58.69 Ni.upf
ATOMIC_POSITIONS crystal
Y 0.000 0.500 0.000
Y 0.500 0.000 0.000
In 0.000 0.000 0.500
Ni 0.500 0.500 0.500
CELL_PARAMETERS angstrom
4.953 0.000 0.000
0.000 4.953 0.000
0.000 0.000 3.644
```

---

# 15
A PBEsol-optimized structure of Y2InNi, computed with meta-GGA SCAN. Values from VASP.

Properties
Formation energy ... -0.226 eV/atom
Magnetization ... 0.000 μB/f.u.
Electronic total energy ... -26.54 eV/atom

Geometry as Quantum ESPRESSO input:
```
&SYSTEM
  ibrav = 0, nat = 8, ntyp = 3
/
ATOMIC_SPECIES
Y 88.91 Y.upf
In 114.82 In.upf
Ni 58.69 Ni.upf
ATOMIC_POSITIONS crystal
Y 0.000 0.000 0.000
Y 0.000 0.500 0.250
Y 0.500 0.000 0.750
Y 0.500 0.500 0.500
In 0.000 0.000 0.500
In 0.500 0.500 0.000
Ni 0.000 0.500 0.750
Ni 0.500 0.000 0.250
CELL_PARAMETERS angstrom
4.263 0.000 0.000
0.000 4.263 0.000
0.000 0.000 9.594
```

---

# 16
A PBEsol-optimized structure of Y11In9Ni4, computed with meta-GGA SCAN. Values from VASP.

Properties
Formation energy ... -0.677 eV/atom
Magnetization ... 0.000 μB/f.u.
Electronic total energy ... -28.65 eV/atom

Geometry as Quantum ESPRESSO input:
```
&SYSTEM
  ibrav = 0, nat = 24, ntyp = 3
/
ATOMIC_SPECIES
Y 88.91 Y.upf
In 114.82 In.upf
Ni 58.69 Ni.upf
ATOMIC_POSITIONS crystal
Y 0.000 0.000 0.000
Y 0.079 0.417 0.000
Y 0.161 0.839 0.000
Y 0.312 0.312 0.000
Y 0.374 0.626 0.000
Y 0.417 0.079 0.000
Y 0.583 0.921 0.000
Y 0.626 0.374 0.000
Y 0.688 0.688 0.000
Y 0.839 0.161 0.000
Y 0.921 0.583 0.000
In 0.078 0.219 0.500
In 0.159 0.632 0.500
In 0.219 0.078 0.500
In 0.368 0.841 0.500
In 0.500 0.500 0.500
In 0.632 0.159 0.500
In 0.781 0.922 0.500
In 0.841 0.368 0.500
In 0.922 0.781 0.500
Ni 0.248 0.449 0.500
Ni 0.449 0.248 0.500
Ni 0.551 0.752 0.500
Ni 0.752 0.551 0.500
CELL_PARAMETERS angstrom
7.117 -10.681 0.000
7.117 10.681 0.000
0.000 0.000 3.596
```

---

# 17
A PBEsol-optimized structure of YInNi2, computed with meta-GGA SCAN. Values from VASP.

Properties
Formation energy ... -0.367 eV/atom
Magnetization ... 0.000 μB/f.u.
Electronic total energy ... -23.76 eV/atom

Geometry as Quantum ESPRESSO input:
```
&SYSTEM
  ibrav = 0, nat = 16, ntyp = 3
/
ATOMIC_SPECIES
Y 88.91 Y.upf
In 114.82 In.upf
Ni 58.69 Ni.upf
ATOMIC_POSITIONS crystal
Y 0.000 0.075 0.250
Y 0.000 0.925 0.750
Y 0.500 0.425 0.750
Y 0.500 0.575 0.250
In 0.000 0.214 0.750
In 0.000 0.786 0.250
In 0.500 0.286 0.250
In 0.500 0.714 0.750
Ni 0.000 0.396 0.056
Ni 0.000 0.396 0.444
Ni 0.000 0.604 0.556
Ni 0.000 0.604 0.944
Ni 0.500 0.104 0.556
Ni 0.500 0.104 0.944
Ni 0.500 0.896 0.056
Ni 0.500 0.896 0.444
CELL_PARAMETERS angstrom
4.223 0.000 0.000
0.000 10.911 0.000
0.000 0.000 5.960
```

---

# 18
A PBEsol-optimized structure of YIn3Ni, computed with meta-GGA SCAN. Values from VASP.

Properties
Formation energy ... 1.301 eV/atom
Magnetization ... 0.262 μB/f.u.
Electronic total energy ... -27.53 eV/atom

Geometry as Quantum ESPRESSO input:
```
&SYSTEM
  ibrav = 0, nat = 5, ntyp = 3
/
ATOMIC_SPECIES
Y 88.91 Y.upf
In 114.82 In.upf
Ni 58.69 Ni.upf
ATOMIC_POSITIONS crystal
Y 0.000 0.000 0.000
In 0.000 0.000 0.500
In 0.000 0.500 0.000
In 0.500 0.000 0.000
Ni 0.500 0.500 0.500
CELL_PARAMETERS angstrom
5.660 0.000 0.000
0.000 5.660 0.000
0.000 0.000 5.660
```

---

# 19
A PBEsol-optimized structure of Y2InNi, computed with meta-GGA SCAN. Values from VASP.

Properties
Formation energy ... -0.529 eV/atom
Magnetization ... 0.000 μB/f.u.
Electronic total energy ... -26.84 eV/atom

Geometry as Quantum ESPRESSO input:
```
&SYSTEM
  ibrav = 0, nat = 4, ntyp = 3
/
ATOMIC_SPECIES
Y 88.91 Y.upf
In 114.82 In.upf
Ni 58.69 Ni.upf
ATOMIC_POSITIONS crystal
Y 0.000 0.000 0.212
Y 0.000 0.000 0.788
In 0.500 0.500 0.500
Ni 0.500 0.500 0.000
CELL_PARAMETERS angstrom
3.395 0.000 0.000
0.000 3.395 0.000
0.000 0.000 7.614
```

---

# 20
A PBEsol-optimized structure of YInNi2, computed with meta-GGA SCAN. Values from VASP.

Properties
Formation energy ... -0.160 eV/atom
Magnetization ... 0.000 μB/f.u.
Electronic total energy ... -23.55 eV/atom

Geometry as Quantum ESPRESSO input:
```
&SYSTEM
  ibrav = 0, nat = 8, ntyp = 3
/
ATOMIC_SPECIES
Y 88.91 Y.upf
In 114.82 In.upf
Ni 58.69 Ni.upf
ATOMIC_POSITIONS crystal
Y 0.000 0.000 0.000
Y 0.500 0.500 0.500
In 0.000 0.500 0.221
In 0.500 0.000 0.721
Ni 0.000 0.000 0.464
Ni 0.000 0.500 0.771
Ni 0.500 0.000 0.271
Ni 0.500 0.500 0.964
CELL_PARAMETERS angstrom
3.373 0.000 0.000
0.000 4.384 0.000
0.000 0.000 9.168
```